Entry from the Alexandria database: a geometry-optimized LiNi3O4 structure (GGA+U).

Computed properties:
Crystal system: monoclinic
M_tot in μB/f.u.: 5.0
ρ in kg/m³: 5676
DOS at the Fermi energy in states/eV per cell: 6.18
E in eV/atom: -4.854

a = 5.1047 Å, b = 5.8871 Å, c = 5.1061 Å
α = 90.00°, β = 109.63°, γ = 90.00°
Closest atoms and distances in Å follow each position.
Element x y z (fractional)
Li (0.0000, 0.1203, 0.2500)  6 O 2.09-2.17
Li (0.0000, 0.8797, 0.7500)  6 O 2.09-2.17
Ni (0.0000, 0.3702, 0.7500)  6 O 2.06-2.09
Ni (0.0000, 0.6298, 0.2500)  6 O 2.06-2.09
Ni (0.5000, 0.1226, 0.7500)  6 O 2.00-2.11
Ni (0.5000, 0.3711, 0.2500)  6 O 2.04-2.11
Ni (0.5000, 0.6289, 0.7500)  6 O 2.04-2.11
Ni (0.5000, 0.8774, 0.2500)  6 O 2.00-2.11
O (0.2505, 0.3814, 0.5054)  5 Ni 2.06-2.11, 1 Li 2.14
O (0.2505, 0.6186, 0.0054)  5 Ni 2.06-2.11, 1 Li 2.14
O (0.2628, 0.1292, 0.9930)  4 Ni 2.00-2.08, 2 Li 2.09-2.17
O (0.2628, 0.8708, 0.4930)  4 Ni 2.00-2.08, 2 Li 2.09-2.17
O (0.7372, 0.1292, 0.5070)  4 Ni 2.00-2.08, 2 Li 2.09-2.17
O (0.7372, 0.8708, 0.0070)  4 Ni 2.00-2.08, 2 Li 2.09-2.17
O (0.7495, 0.3814, 0.9946)  5 Ni 2.06-2.11, 1 Li 2.14
O (0.7495, 0.6186, 0.4946)  5 Ni 2.06-2.11, 1 Li 2.14